Entry 1:
The following is a PBEsol calculation of a relaxed ScTl2Ir crystal, from Alexandria via LeMat-Bulk.

a = 5.421 Å, b = 5.421 Å, c = 5.421 Å
α = 138.66°, β = 128.46°, γ = 68.11°
Fractional coordinates of all 4 atoms:
Sc: 0.000 0.000 0.000
Tl: 0.273 0.773 0.500
Tl: 0.543 0.543 0.000
Ir: 0.800 0.300 0.500

## Properties
M_tot   0.000 μB per atom
Calculated formation energy   -0.06 eV per atom
SG   Imm2

---

Entry 2:
The following is a PBEsol calculation of a relaxed CaInAs2 crystal, from Alexandria via LeMat-Bulk.

a = 4.662 Å, b = 4.662 Å, c = 3.945 Å
α = 90.00°, β = 90.00°, γ = 90.00°
Fractional coordinates of all 4 atoms:
Ca: 0.000 0.000 0.000
In: 0.500 0.500 0.000
As: 0.000 0.500 0.500
As: 0.500 0.000 0.500

## Properties
M_tot   0.000 μB per atom
Calculated formation energy   -0.48 eV per atom
SG   P4/mmm

---

Entry 3:
The following is a PBEsol calculation of a relaxed AsIr3Pb crystal, from Alexandria via LeMat-Bulk.

a = 4.606 Å, b = 4.606 Å, c = 4.606 Å
α = 90.00°, β = 90.00°, γ = 90.00°
Fractional coordinates of all 5 atoms:
As: 0.000 0.000 0.000
Ir: 0.000 0.000 0.500
Ir: 0.000 0.500 0.000
Ir: 0.500 0.000 0.000
Pb: 0.500 0.500 0.500

## Properties
M_tot   0.000 μB per atom
Calculated formation energy   0.97 eV per atom
SG   Pm-3m

---

Entry 4:
The following is a PBEsol calculation of a relaxed Si3OsRu crystal, from Alexandria via LeMat-Bulk.

a = 4.520 Å, b = 4.520 Å, c = 4.520 Å
α = 90.00°, β = 90.00°, γ = 90.00°
Fractional coordinates of all 5 atoms:
Si: 0.000 0.000 0.500
Si: 0.000 0.500 0.000
Si: 0.500 0.000 0.000
Os: 0.000 0.000 0.000
Ru: 0.500 0.500 0.500

## Properties
M_tot   0.319 μB per atom
Raw formation energy   1.0920 eV/atom
SG   Pm-3m

---

Entry 5:
The following is a PBEsol calculation of a relaxed NdB2Rh3 crystal, from Alexandria via LeMat-Bulk.

a = 5.442 Å, b = 5.442 Å, c = 3.069 Å
α = 90.00°, β = 90.00°, γ = 120.00°
Fractional coordinates of all 6 atoms:
Nd: 0.000 0.000 0.000
B: 0.333 0.667 0.000
B: 0.667 0.333 0.000
Rh: 0.000 0.500 0.500
Rh: 0.500 0.000 0.500
Rh: 0.500 0.500 0.500

## Properties
M_tot   0.000 μB per atom
Calculated formation energy   -0.71 eV per atom
SG   P6/mmm

---

Entry 6:
The following is a PBEsol calculation of a relaxed SiPAu2 crystal, from Alexandria via LeMat-Bulk.

a = 6.135 Å, b = 6.135 Å, c = 6.135 Å
α = 120.86°, β = 120.86°, γ = 88.52°
Fractional coordinates of all 8 atoms:
Si: 0.000 0.000 0.000
Si: 0.750 0.250 0.500
P: 0.250 0.750 0.500
P: 0.500 0.500 0.000
Au: 0.128 0.125 0.503
Au: 0.375 0.872 0.997
Au: 0.622 0.625 0.497
Au: 0.875 0.378 0.003

## Properties
M_tot   0.000 μB per atom
Raw formation energy   0.2350 eV/atom
SG   I-42d

---

Entry 7:
The following is a PBEsol calculation of a relaxed Sr3NbCu crystal, from Alexandria via LeMat-Bulk.

a = 5.701 Å, b = 5.701 Å, c = 5.701 Å
α = 90.00°, β = 90.00°, γ = 90.00°
Fractional coordinates of all 5 atoms:
Sr: 0.000 0.000 0.500
Sr: 0.000 0.500 0.000
Sr: 0.500 0.000 0.000
Nb: 0.500 0.500 0.500
Cu: 0.000 0.000 0.000

## Properties
M_tot   0.875 μB per atom
Calculated formation energy   0.84 eV per atom
SG   Pm-3m

---

Entry 8:
The following is a PBEsol calculation of a relaxed TaTe4 crystal, from Alexandria via LeMat-Bulk.

a = 9.183 Å, b = 9.183 Å, c = 20.478 Å
α = 90.00°, β = 90.00°, γ = 90.00°
Fractional coordinates of all 60 atoms:
Ta: 0.250 0.250 0.069
Ta: 0.250 0.250 0.263
Ta: 0.250 0.250 0.415
Ta: 0.250 0.250 0.569
Ta: 0.250 0.250 0.763
Ta: 0.250 0.250 0.915
Ta: 0.750 0.750 0.085
Ta: 0.750 0.750 0.237
Ta: 0.750 0.750 0.431
Ta: 0.750 0.750 0.585
Ta: 0.750 0.750 0.737
Ta: 0.750 0.750 0.931
Te: 0.005 0.167 0.335
Te: 0.005 0.333 0.835
Te: 0.010 0.159 0.997
Te: 0.010 0.341 0.497
Te: 0.033 0.155 0.666
Te: 0.033 0.345 0.166
Te: 0.155 0.033 0.166
Te: 0.155 0.467 0.666
Te: 0.159 0.010 0.497
Te: 0.159 0.490 0.997
Te: 0.167 0.005 0.835
Te: 0.167 0.495 0.335
Te: 0.333 0.005 0.335
Te: 0.333 0.495 0.835
Te: 0.341 0.010 0.997
Te: 0.341 0.490 0.497
Te: 0.345 0.033 0.666
Te: 0.345 0.467 0.166
Te: 0.467 0.155 0.166
Te: 0.467 0.345 0.666
Te: 0.490 0.159 0.497
Te: 0.490 0.341 0.997
Te: 0.495 0.167 0.835
Te: 0.495 0.333 0.335
Te: 0.505 0.667 0.665
Te: 0.505 0.833 0.165
Te: 0.510 0.659 0.003
Te: 0.510 0.841 0.503
Te: 0.533 0.655 0.334
Te: 0.533 0.845 0.834
Te: 0.655 0.533 0.834
Te: 0.655 0.967 0.334
Te: 0.659 0.510 0.503
Te: 0.659 0.990 0.003
Te: 0.667 0.505 0.165
Te: 0.667 0.995 0.665
Te: 0.833 0.505 0.665
Te: 0.833 0.995 0.165
Te: 0.841 0.510 0.003
Te: 0.841 0.990 0.503
Te: 0.845 0.533 0.334
Te: 0.845 0.967 0.834
Te: 0.967 0.655 0.834
Te: 0.967 0.845 0.334
Te: 0.990 0.659 0.503
Te: 0.990 0.841 0.003
Te: 0.995 0.667 0.165
Te: 0.995 0.833 0.665

## Properties
M_tot   0.000 μB per atom
Raw formation energy   -0.2752 eV/atom
SG   P4/ncc

---

> Which of these has the highest M_tot?

Sr3NbCu

---

> Which value of M_tot does entry 3 give?

0.000 μB per atom